DFT (PBE-GGA) results for a relaxed CsAgH2 crystal.

Properties
Space group: P2/m, No. 10
Relative energy among the computed polymorphs, kJ/mol of atoms: 14.9
Energy, eV per atom: -2.5285

a = 5.9677 Å, b = 3.5054 Å, c = 9.0661 Å
α = 90.00°, β = 90.29°, γ = 90.00°
Element x y z (fractional)
Cs1 0.0000 0.0000 0.0000
Cs2 0.0000 0.5000 0.5000
Ag1 0.4864 0.0000 0.7532
Ag2 0.5136 0.0000 0.2468
H1 0.2235 0.0000 0.2897
H2 0.3446 0.5000 0.7796
H3 0.6554 0.5000 0.2204
H4 0.7765 0.0000 0.7103